3
Lattice="0.0000 3.5855 3.5855 3.5855 0.0000 3.5855 3.5855 3.5855 0.0000" Properties=species:S:1:pos:R:3 comment="LaTmNb (PBE, optimized geometry)" magmom_total_mub_per_cell=1.70 space_group=F-43m formation_energy_ev_per_atom=0.76 pbc="T T T"
La 0.0000 0.0000 0.0000
Nb 5.3783 5.3783 5.3783
Tm 3.5855 3.5855 3.5855

8
Lattice="7.5797 0.0000 0.0000 0.0000 2.1341 5.1307 0.0000 -2.1341 5.1307" Properties=species:S:1:pos:R:3 comment="DyYIn4Co2 (PBE, optimized geometry)" magmom_total_mub_per_cell=0.00 dft_energy_ev_per_atom=-4.824 space_group=Amm2 pbc="T T T"
Co 3.7898 0.0000 2.9161
Co 0.0000 0.0000 7.3421
Dy 0.0000 0.0000 4.4556
In 1.5106 0.0000 1.5013
In 6.0691 0.0000 1.5013
In 2.2781 0.0000 8.7611
In 5.3016 0.0000 8.7611
Y 3.7898 0.0000 5.8070

80
Lattice="9.2201 0.0000 0.0000 0.0000 5.0009 0.0000 -1.0868 0.0000 14.9501" Properties=species:S:1:pos:R:3 comment="ZnPH8C3NO6 (PBE, optimized geometry)" dft_energy_ev_per_atom=-5.921 space_group=P2_1/c pbc="T T T"
C 3.1996 3.8413 0.3746
C 3.5473 3.5440 1.8214
C 4.8657 4.1982 2.1912
C 3.8110 1.6977 5.2838
C 5.1295 1.0435 5.6537
C 5.4771 1.3409 7.1004
C 2.6562 3.6600 7.8497
C 3.0039 3.9574 9.2964
C 4.3223 3.3032 9.6663
C 3.2676 0.8027 12.7589
C 4.5861 1.4569 13.1287
C 4.9338 1.1596 14.5754
H 2.2771 3.3308 0.0835
H 8.8666 3.6841 0.2172
H 3.0669 4.9199 0.2224
H 5.2320 1.5219 0.2910
H 3.6303 2.4646 2.0036
H 1.5605 3.7613 2.4440
H 2.4817 0.1060 2.7479
H 2.7146 3.7293 3.7041
H 5.9622 1.2289 3.7709
H 6.1951 2.6065 4.7271
H 7.1163 1.2609 5.0311
H 5.0464 4.9650 5.4714
H 3.4447 4.0224 7.1841
H 5.6098 2.4194 7.2526
H -0.1898 1.1836 7.2579
H 6.3996 0.8303 7.3916
H 1.7337 4.1706 7.5585
H 8.3232 3.8173 7.6922
H 2.5236 2.5815 7.6974
H 4.6886 0.9785 7.7660
H 3.0869 0.0359 9.4786
H 1.0171 3.7400 9.9190
H 1.9383 2.3944 10.2230
H 2.1712 3.7720 11.1792
H 5.4188 1.2716 11.2460
H 5.6517 4.8949 12.2022
H 6.5729 1.2396 12.5061
H 4.5030 2.5363 12.9465
H 2.9014 3.4790 14.6591
H 5.0664 0.0810 14.7277
H -0.7332 1.3168 14.7329
H 5.8563 1.6701 14.8666
N 2.5082 4.0714 2.7365
N 6.1685 1.5710 4.7385
N 1.9648 3.4299 10.2116
N 5.6251 0.9295 12.2136
O 0.7859 1.0917 0.6687
O -0.0532 3.2431 1.7307
O 5.9045 3.5080 1.8722
O 7.9746 1.1008 2.2634
O 4.8554 0.3339 2.7152
O 1.1816 1.4499 3.0385
O 7.4952 3.9504 4.4365
O 3.8213 2.8343 4.7598
O 0.7022 3.6013 5.2116
O 2.7722 1.0076 5.6029
O 8.7299 0.7427 5.7443
O 7.8909 3.5922 6.8063
O 0.2425 1.4087 8.1437
O -0.5966 4.2582 9.2058
O 5.3612 3.9933 9.3472
O 7.4312 1.3996 9.7384
O 4.3120 2.1666 10.1903
O 0.6382 1.0505 10.5136
O 6.9518 3.5510 11.9115
O 3.2780 4.6670 12.2348
O 0.1588 3.9001 12.6867
O 2.2288 1.4929 13.0779
O 8.1865 1.7578 13.2194
O 7.3475 3.9092 14.2814
P 0.1218 1.7031 1.9647
P 8.5549 4.2035 5.5104
P -0.4216 0.7974 9.4397
P 8.0115 3.2978 12.9854
Zn 7.5915 4.2121 2.4907
Zn 1.0853 1.7116 4.9843
Zn 7.0481 3.2893 9.9658
Zn 0.5419 0.7888 12.4594

10
Lattice="-5.5949 0.1546 6.9730 -7.0793 -5.4591 0.1736 -0.2081 -6.8708 5.7181" Properties=species:S:1:pos:R:3 comment="KTbIn2I6 (PBE, optimized geometry)" magmom_total_mub_per_cell=0.00 dft_energy_ev_per_atom=-2.948 space_group=Fm-3m pbc="T T T"
I -6.0376 -3.1109 6.6902
I -6.7455 -5.7879 3.4477
I -9.4135 -5.7142 6.7729
I -3.4687 -6.4611 6.0918
I -6.1368 -6.3874 9.4170
I -6.8447 -9.0644 6.1745
In -3.2206 -3.0438 3.2162
In -9.6617 -9.1315 9.6485
K 0.0000 0.0000 0.0000
Tb -6.4411 -6.0877 6.4323

8
Lattice="-6.3462 0.1416 -0.6545 2.0902 -6.0033 -0.5606 -0.5420 -0.6661 5.1113" Properties=species:S:1:pos:R:3 comment="DyLuHg2 (PBE, optimized geometry)" magmom_total_mub_per_cell=0.00 space_group=Cmcm formation_energy_ev_per_atom=-0.48 pbc="T T T"
Dy -1.1732 -3.8915 0.6824
Dy -3.6248 -2.6362 3.2137
Hg -2.2187 -0.8675 0.9656
Hg -4.3676 -3.8272 0.3520
Hg -0.4304 -2.7005 3.5441
Hg -2.5793 -5.6602 2.9305
Lu -5.4345 -0.7876 0.6349
Lu 0.6366 -5.7401 3.2612

3
Lattice="1.8137 2.3041 3.2221 -0.9649 4.2225 0.4690 -2.4274 1.3186 3.3688" Properties=species:S:1:pos:R:3 comment="HfCuPt (PBE, optimized geometry)" magmom_total_mub_per_cell=0.00 space_group=F-43m formation_energy_ev_per_atom=-0.21 pbc="T T T"
Cu -0.3946 1.9613 1.7650
Hf 0.0000 0.0000 0.0000
Pt -1.1839 5.8839 5.2949

8
Lattice="-2.5212 -0.6261 1.7470 1.0048 -2.9383 0.3970 3.6441 2.0564 5.9959" Properties=species:S:1:pos:R:3 comment="BeTcNO (PBE, optimized geometry)" magmom_total_mub_per_cell=0.02 dft_energy_ev_per_atom=-6.957 space_group=P4/nmm pbc="T T T"
Be 1.8220 1.0282 2.9979
Be 1.0638 -0.7540 4.0700
N 0.1348 0.4744 3.1696
N 2.7510 -0.2002 3.8984
O 0.0000 0.0000 0.0000
O -0.7582 -1.7822 1.0720
Tc 1.1501 -1.1036 1.2643
Tc 1.7357 1.3778 5.8036

8
Lattice="-3.1784 -2.2308 3.0065 4.1753 -4.2057 1.2934 1.6577 2.8306 3.8528" Properties=species:S:1:pos:R:3 comment="TmHfAg6 (PBE, optimized geometry)" magmom_total_mub_per_cell=0.01 space_group=Pmm2 formation_energy_ev_per_atom=-0.14 pbc="T T T"
Ag 2.3818 -1.6006 1.3303
Ag -0.0354 -1.1679 3.1069
Ag 2.1466 -3.3659 3.7829
Ag 2.1179 0.8348 2.8584
Ag 4.2440 -1.3068 3.5171
Ag -0.2048 1.2486 4.7209
Hf 0.2542 0.4340 0.5907
Tm 1.8955 -0.8326 5.3971